Computed, not measured: crystalline Tb3ErS4 at its relaxed geometry at the GGA-PBE level of DFT.

Summary:
For the total energy, the calculation gives -6.35 eV/atom. The space-group type is Pm-3m (221). The formation energy without anion corrections is -1.98 eV/atom.

```
8
Lattice="5.532 0.000 0.000 0.000 5.532 0.000 0.000 0.000 5.532" Properties=species:S:1:pos:R:3 pbc="T T T"
S 0.000 2.766 0.000
Er 0.000 0.000 0.000
S 0.000 0.000 2.766
Tb 2.766 0.000 2.766
S 2.766 0.000 0.000
S 2.766 2.766 2.766
Tb 0.000 2.766 2.766
Tb 2.766 2.766 0.000
```